Record 1
This record from Alexandria via LeMat-Bulk describes crystalline LaPuNiIr at its relaxed geometry. The functional is PBE.

For the formation energy, the calculation gives -316 meV per atom. Its density of states at the Fermi level is 11.9 states/eV/f.u. As for the space group: F-43m (216).

POSCAR file:
```
LaPuNiIr
1.0
0.0000 3.4909 3.4909
3.4909 0.0000 3.4909
3.4909 3.4909 0.0000
La Pu Ni Ir
1 1 1 1
Direct
0.0000 0.0000 0.0000
0.5000 0.5000 0.5000
0.7500 0.7500 0.7500
0.2500 0.2500 0.2500
```

Record 2
This record from Alexandria via LeMat-Bulk describes crystalline LaReNi2Ir at its relaxed geometry. The functional is PBE.

For the formation energy, the calculation gives 2151 meV per atom. Its density of states at the Fermi level is 7.8 states/eV/f.u. As for the space group: P4/mmm (123).

POSCAR file:
```
LaReNi2Ir
1.0
4.4481 0.0000 0.0000
0.0000 4.4481 0.0000
0.0000 0.0000 4.8992
La Re Ni Ir
1 1 2 1
Direct
0.0000 0.0000 0.0000
0.0000 0.0000 0.5000
0.0000 0.5000 0.0000
0.5000 0.0000 0.0000
0.5000 0.5000 0.5000
```

Record 3
This record from Alexandria via LeMat-Bulk describes crystalline La6NiIr2Rh at its relaxed geometry. The functional is PBE.

For the formation energy, the calculation gives -565 meV per atom. Its density of states at the Fermi level is 5.8 states/eV/f.u. As for the space group: R3 (146).

POSCAR file:
```
La6NiIr2Rh
1.0
3.6026 2.0800 6.6164
-3.6026 2.0800 6.6164
0.0000 -4.1600 6.6164
La Ni Ir Rh
6 1 2 1
Direct
0.0014 0.6694 0.3292
0.1668 0.5043 0.8313
0.3292 0.0014 0.6694
0.5043 0.8313 0.1668
0.6694 0.3292 0.0014
0.8313 0.1668 0.5043
0.7435 0.7435 0.7435
0.0867 0.0867 0.0867
0.5862 0.5862 0.5862
0.2476 0.2476 0.2476
```

Record 4
This record from Alexandria via LeMat-Bulk describes crystalline La2NiSb4Ir3 at its relaxed geometry. The functional is PBE.

Its density of states at the Fermi level is 7.6 states/eV/f.u. As for the total energy: -6.54 eV/atom. As for the space group: P-4m2 (115).

POSCAR file:
```
La2NiSb4Ir3
1.0
4.6075 0.0000 0.0000
0.0000 4.6075 0.0000
0.0000 0.0000 10.3885
La Ni Sb Ir
2 1 4 3
Direct
0.0000 0.5000 0.2411
0.5000 0.0000 0.7589
0.5000 0.5000 0.0000
0.0000 0.0000 0.5000
0.0000 0.5000 0.8744
0.5000 0.0000 0.1256
0.5000 0.5000 0.5000
0.0000 0.0000 0.0000
0.0000 0.5000 0.6233
0.5000 0.0000 0.3767
```

Record 5
This record from Alexandria via LeMat-Bulk describes crystalline LaSiNi2Ir at its relaxed geometry. The functional is PBE.

Its density of states at the Fermi level is 4.0 states/eV/f.u. As for the total energy: -6.20 eV/atom. As for the space group: P4/mmm (123).

POSCAR file:
```
LaSiNi2Ir
1.0
4.7442 0.0000 0.0000
0.0000 4.7442 0.0000
0.0000 0.0000 4.4405
La Si Ni Ir
1 1 2 1
Direct
0.0000 0.0000 0.0000
0.5000 0.5000 0.0000
0.0000 0.5000 0.5000
0.5000 0.0000 0.5000
0.5000 0.5000 0.5000
```

Record 6
This record from Alexandria via LeMat-Bulk describes crystalline La2Si4NiIr3 at its relaxed geometry. The functional is PBE.

Its density of states at the Fermi level is 9.2 states/eV/f.u. As for the total energy: -7.33 eV/atom. As for the space group: P-4m2 (115).

POSCAR file:
```
La2Si4NiIr3
1.0
4.2274 0.0000 0.0000
0.0000 4.2274 0.0000
0.0000 0.0000 9.8754
La Si Ni Ir
2 4 1 3
Direct
0.0000 0.5000 0.2466
0.5000 0.0000 0.7534
0.0000 0.0000 0.0000
0.0000 0.5000 0.6239
0.5000 0.0000 0.3761
0.5000 0.5000 0.0000
0.0000 0.0000 0.5000
0.0000 0.5000 0.8732
0.5000 0.0000 0.1268
0.5000 0.5000 0.5000
```